*w*
{"formula": "NiGeN2F", "functional": "GGA+U", "state": "relaxed", "cell": [[3.802, 0.000, 0.000], [0.000, 3.802, 0.000], [0.000, 0.000, 3.983]], "species": ["N", "N", "Ge", "Ni", "F"], "fractional_positions": [[0.000, 0.500, 0.000], [0.500, 0.000, 0.000], [0.500, 0.500, 0.500], [0.000, 0.000, 0.000], [0.000, 0.000, 0.500]], "crystal_system": "tetragonal", "magmom_total_mub_per_cell": 3.3}



*x*
{"formula": "NiGeN2F", "functional": "GGA+U", "state": "relaxed", "cell": [[-2.604, 0.777, -2.619], [0.950, -3.135, -1.874], [-2.613, -1.992, 2.007]], "species": ["Ni", "Ge", "F", "N", "N"], "fractional_positions": [[0.500, 0.500, 0.500], [0.000, 0.000, 0.000], [0.000, 0.000, 0.500], [0.500, 0.000, 0.000], [0.000, 0.500, 0.000]], "crystal_system": "tetragonal", "magmom_total_mub_per_cell": 1.5}



Referenced to the most stable arrangement, the calculated values in kJ/mol of atoms are *w* 14.8; *x* 0.0.